Entry 1:
Material: NiAg2Sb
Method: DFT, GGA-PBE
State: relaxed

It has space group P2/m (No. 10), with a = 3.228 Å, b = 5.056 Å, c = 4.490 Å, α = 90.00°, β = 90.98° and γ = 90.00°. The inequivalent atoms are Ni at (0.000, 0.000, 0.000), Ag at (0.246, 0.500, 0.757) and Sb at (0.500, 0.000, 0.500).

Its uncorrected formation energy is 192.5 meV per atom. For the total DFT energy (no corrections), the calculation gives -3.709 eV/atom.



Entry 2:
Material: NiAg2Sb
Method: DFT, GGA-PBE
State: relaxed

It has space group R-3m (No. 166, hexagonal axes), with a = 3.1033 Å, b = 3.1033 Å, c = 27.1323 Å, α = 90.00°, β = 90.00° and γ = 120.00°. The inequivalent atoms are Ni at (0.0000, 0.0000, 0.0000), Ag at (0.0000, 0.0000, 0.2600) and Sb at (0.0000, 0.0000, 0.5000).

Its uncorrected formation energy is 394.2 meV per atom. For the total DFT energy (no corrections), the calculation gives -3.507 eV/atom.



Entry 3:
Material: NiAg2Sb
Method: DFT, GGA-PBE
State: relaxed

It has space group P4/mmm (No. 123), with a = 3.119 Å, b = 3.119 Å, c = 7.618 Å, α = 90.00°, β = 90.00° and γ = 90.00°. The inequivalent atoms are Ni at (0.000, 0.000, 0.000), Ag at (0.500, 0.500, 0.201) and Sb at (0.000, 0.000, 0.500).

Its uncorrected formation energy is 261.8 meV per atom. For the total DFT energy (no corrections), the calculation gives -3.640 eV/atom.



Entry 4:
Material: Ni4AgSb2
Method: DFT, GGA-PBE
State: relaxed

It has space group I4/mmm (No. 139), with a = 4.583 Å, b = 4.583 Å, c = 12.868 Å, α = 90.00°, β = 90.00° and γ = 90.00°. The inequivalent atoms are Ni at (0.000, 0.000, 0.193), Ni at (0.000, 0.500, 0.000), Ag at (0.000, 0.000, 0.000) and Sb at (0.000, 0.000, 0.380).

Its uncorrected formation energy is 689.2 meV per atom. For the total DFT energy (no corrections), the calculation gives -4.200 eV/atom.



Entry 5:
Material: NiAg2Sb
Method: DFT, GGA-PBE
State: relaxed

It has space group Imm2 (No. 44), with a = 3.967 Å, b = 4.443 Å, c = 8.084 Å, α = 90.00°, β = 90.00° and γ = 90.00°. The inequivalent atoms are Ni at (0.000, 0.000, 0.000), Ag at (0.000, 0.000, 0.478), Ag at (0.000, 0.500, 0.247) and Sb at (0.000, 0.500, 0.710).

Its uncorrected formation energy is 129.8 meV per atom. For the total DFT energy (no corrections), the calculation gives -3.772 eV/atom.



Entry 6:
Material: NiAgSb2
Method: DFT, GGA-PBE
State: relaxed

It has space group I4/mmm (No. 139), with a = 4.582 Å, b = 4.582 Å, c = 7.689 Å, α = 90.00°, β = 90.00° and γ = 90.00°. The inequivalent atoms are Ni at (0.000, 0.000, 0.000), Ag at (0.000, 0.000, 0.500) and Sb at (0.000, 0.500, 0.250).

The offset from the most stable computed form is 0.208 eV/atom. Its uncorrected formation energy is 219.5 meV per atom. For the total DFT energy (no corrections), the calculation gives -4.000 eV/atom.



Entry 7:
Material: NiAgSb2
Method: DFT, GGA-PBE
State: relaxed

It has space group Cm (No. 8), with a = 9.755 Å, b = 3.253 Å, c = 5.904 Å, α = 90.00°, β = 106.86° and γ = 90.00°. The inequivalent atoms are Ni at (0.000, 0.000, 0.000), Ag at (0.217, 0.500, 0.957), Sb at (0.081, 0.500, 0.345) and Sb at (0.376, 0.000, 0.669).

The offset from the most stable computed form is 0.071 eV/atom. Its uncorrected formation energy is 83.0 meV per atom. For the total DFT energy (no corrections), the calculation gives -4.136 eV/atom.



Entry 8:
Material: NiAgSb2
Method: DFT, GGA-PBE
State: relaxed

It has space group F-43m (No. 216), with a = 6.956 Å, b = 6.956 Å, c = 6.956 Å, α = 90.00°, β = 90.00° and γ = 90.00°. The inequivalent atoms are Ni at (0.000, 0.000, 0.000), Ag at (0.250, 0.250, 0.750), Sb at (0.000, 0.000, 0.500) and Sb at (0.250, 0.250, 0.250).

The offset from the most stable computed form is 0.415 eV/atom. Its uncorrected formation energy is 426.8 meV per atom. For the total DFT energy (no corrections), the calculation gives -3.793 eV/atom.